[1]
Compound: Nd4Sb3
Source: Alexandria
Functional: meta-GGA SCAN
Structure: single point on PBEsol structure

a = 8.116 Å, b = 8.116 Å, c = 8.116 Å
α = 109.47°, β = 109.47°, γ = 109.47°
Element x y z (fractional)
Nd: 0.000 0.142 0.500
Nd: 0.000 0.642 0.500
Nd: 0.142 0.500 0.000
Nd: 0.358 0.358 0.358
Nd: 0.500 0.000 0.142
Nd: 0.500 0.000 0.642
Nd: 0.642 0.500 0.000
Nd: 0.858 0.858 0.858
Sb: 0.125 0.875 0.250
Sb: 0.250 0.125 0.875
Sb: 0.375 0.625 0.750
Sb: 0.625 0.750 0.375
Sb: 0.750 0.375 0.625
Sb: 0.875 0.250 0.125

* SG: I-43d (220)
* DOS(E_F): 0.87 states/eV/atom
* raw formation energy: -1176 meV per atom
* E: -42.0491 eV per atom

---

[2]
Compound: Nd2Sb
Source: Alexandria
Functional: meta-GGA SCAN
Structure: single point on PBEsol structure

a = 9.344 Å, b = 9.344 Å, c = 9.344 Å
α = 152.17°, β = 152.17°, γ = 39.76°
Element x y z (fractional)
Nd: 0.000 0.500 0.500
Nd: 0.179 0.179 0.000
Nd: 0.500 0.000 0.500
Nd: 0.821 0.821 0.000
Sb: 0.362 0.362 0.000
Sb: 0.638 0.638 0.000

* SG: I4/mmm (139)
* DOS(E_F): 1.13 states/eV/atom
* raw formation energy: -955 meV per atom
* E: -42.4301 eV per atom

---

[3]
Compound: NdSb2
Source: Alexandria
Functional: meta-GGA SCAN
Structure: single point on PBEsol structure

a = 4.352 Å, b = 4.352 Å, c = 17.924 Å
α = 90.00°, β = 90.00°, γ = 88.79°
Element x y z (fractional)
Nd: 0.138 0.862 0.890
Nd: 0.362 0.638 0.390
Nd: 0.638 0.362 0.610
Nd: 0.862 0.138 0.110
Sb: 0.124 0.376 0.750
Sb: 0.136 0.864 0.564
Sb: 0.364 0.636 0.064
Sb: 0.376 0.124 0.250
Sb: 0.624 0.876 0.750
Sb: 0.636 0.364 0.936
Sb: 0.864 0.136 0.436
Sb: 0.876 0.624 0.250

* SG: Cmce (64)
* DOS(E_F): 0.29 states/eV/atom
* raw formation energy: -902 meV per atom
* E: -40.2695 eV per atom

---

[4]
Compound: NdSm3Sb3
Source: Alexandria
Functional: meta-GGA SCAN
Structure: single point on PBEsol structure

a = 9.276 Å, b = 9.276 Å, c = 9.276 Å
α = 90.00°, β = 90.00°, γ = 90.00°
Element x y z (fractional)
Nd: 0.071 0.429 0.571
Nd: 0.429 0.571 0.071
Nd: 0.571 0.071 0.429
Nd: 0.929 0.929 0.929
Sm: 0.073 0.573 0.927
Sm: 0.179 0.179 0.179
Sm: 0.179 0.821 0.321
Sm: 0.321 0.179 0.821
Sm: 0.321 0.821 0.679
Sm: 0.427 0.427 0.427
Sm: 0.573 0.927 0.073
Sm: 0.679 0.321 0.821
Sm: 0.679 0.679 0.679
Sm: 0.821 0.321 0.179
Sm: 0.821 0.679 0.321
Sm: 0.927 0.073 0.573
Sb: 0.001 0.252 0.877
Sb: 0.123 0.501 0.248
Sb: 0.248 0.123 0.501
Sb: 0.252 0.877 0.001
Sb: 0.377 0.499 0.748
Sb: 0.499 0.748 0.377
Sb: 0.501 0.248 0.123
Sb: 0.623 0.999 0.752
Sb: 0.748 0.377 0.499
Sb: 0.752 0.623 0.999
Sb: 0.877 0.001 0.252
Sb: 0.999 0.752 0.623

* SG: P2_13 (198)
* DOS(E_F): 0.86 states/eV/atom
* raw formation energy: -1155 meV per atom
* E: -42.3965 eV per atom

---

[5]
Compound: NdSm3Sb3
Source: Alexandria
Functional: meta-GGA SCAN
Structure: single point on PBEsol structure

a = 8.038 Å, b = 8.038 Å, c = 8.028 Å
α = 109.47°, β = 109.47°, γ = 109.52°
Element x y z (fractional)
Nd: 0.071 0.929 0.500
Nd: 0.929 0.071 0.000
Sm: 0.071 0.428 0.499
Sm: 0.213 0.715 0.144
Sm: 0.428 0.071 0.999
Sm: 0.572 0.573 0.358
Sm: 0.573 0.572 0.858
Sm: 0.715 0.213 0.644
Sb: 0.199 0.326 0.877
Sb: 0.326 0.199 0.377
Sb: 0.446 0.820 0.625
Sb: 0.693 0.947 0.249
Sb: 0.820 0.446 0.125
Sb: 0.947 0.693 0.749

* SG: Cc (9)
* DOS(E_F): 0.85 states/eV/atom
* raw formation energy: -1155 meV per atom
* E: -42.3969 eV per atom

---

[6]
Compound: NdSbTe
Source: Alexandria
Functional: meta-GGA SCAN
Structure: single point on PBEsol structure

a = 4.294 Å, b = 4.294 Å, c = 9.357 Å
α = 90.00°, β = 90.00°, γ = 90.00°
Element x y z (fractional)
Nd: 0.250 0.250 0.226
Nd: 0.750 0.750 0.774
Sb: 0.250 0.750 0.500
Sb: 0.750 0.250 0.500
Te: 0.250 0.250 0.876
Te: 0.750 0.750 0.124

* SG: P4/nmm (129)
* DOS(E_F): 0.27 states/eV/atom
* raw formation energy: -1309 meV per atom
* E: -40.6741 eV per atom

---

[7]
Compound: Nd3TiSb5
Source: Alexandria
Functional: meta-GGA SCAN
Structure: single point on PBEsol structure

a = 9.312 Å, b = 9.312 Å, c = 6.162 Å
α = 90.00°, β = 90.00°, γ = 120.00°
Element x y z (fractional)
Nd: 0.000 0.382 0.250
Nd: 0.000 0.618 0.750
Nd: 0.382 0.000 0.250
Nd: 0.382 0.382 0.750
Nd: 0.618 0.000 0.750
Nd: 0.618 0.618 0.250
Ti: 0.000 0.000 0.000
Ti: 0.000 0.000 0.500
Sb: 0.000 0.255 0.750
Sb: 0.000 0.745 0.250
Sb: 0.255 0.000 0.750
Sb: 0.255 0.255 0.250
Sb: 0.333 0.667 0.000
Sb: 0.333 0.667 0.500
Sb: 0.667 0.333 0.000
Sb: 0.667 0.333 0.500
Sb: 0.745 0.000 0.250
Sb: 0.745 0.745 0.750

* SG: P6_3/mcm (193)
* DOS(E_F): 0.31 states/eV/atom
* raw formation energy: -1012 meV per atom
* E: -38.0204 eV per atom